Compound: Rb8ThMo6O24
Source: Alexandria via LeMat-Bulk
Functional: GGA-PBEsol
Structure: relaxed

Properties
- formation energy from raw total energies (eV/f.u.) = -87.56
- mass density (g/cm³) = 4.5

Geometry as CIF:
```
data_Rb8ThMo6O24
_cell_length_a 10.431
_cell_length_b 10.431
_cell_length_c 14.970
_cell_angle_alpha 96.81
_cell_angle_beta 96.81
_cell_angle_gamma 118.31
_space_group_name_H-M_alt 'P 1'
_space_group_IT_number 1
loop_
_space_group_symop_operation_xyz
'x,y,z'
loop_
_atom_site_label
_atom_site_fract_x
_atom_site_fract_y
_atom_site_fract_z
Rb1 0.036 0.186 0.551
Rb2 0.084 0.916 0.750
Rb3 0.170 0.675 0.953
Rb4 0.186 0.036 0.051
Rb5 0.322 0.478 0.454
Rb6 0.325 0.830 0.547
Rb7 0.409 0.591 0.750
Rb8 0.478 0.322 0.954
Rb9 0.522 0.678 0.046
Rb10 0.591 0.409 0.250
Rb11 0.675 0.170 0.453
Rb12 0.678 0.522 0.546
Rb13 0.814 0.964 0.949
Rb14 0.830 0.325 0.047
Rb15 0.916 0.084 0.250
Rb16 0.964 0.814 0.449
Th1 0.271 0.729 0.250
Th2 0.729 0.271 0.750
Mo1 0.039 0.542 0.649
Mo2 0.119 0.288 0.842
Mo3 0.215 0.400 0.145
Mo4 0.288 0.119 0.342
Mo5 0.400 0.215 0.645
Mo6 0.458 0.961 0.851
Mo7 0.542 0.039 0.149
Mo8 0.600 0.785 0.355
Mo9 0.712 0.881 0.658
Mo10 0.785 0.600 0.855
Mo11 0.881 0.712 0.158
Mo12 0.961 0.458 0.351
O1 0.002 0.669 0.600
O2 0.047 0.235 0.105
O3 0.052 0.702 0.172
O4 0.100 0.145 0.899
O5 0.114 0.613 0.766
O6 0.126 0.639 0.365
O7 0.145 0.100 0.399
O8 0.164 0.252 0.737
O9 0.172 0.521 0.596
O10 0.203 0.549 0.103
O11 0.235 0.047 0.605
O12 0.248 0.481 0.265
O13 0.252 0.164 0.237
O14 0.268 0.456 0.906
O15 0.298 0.948 0.328
O16 0.331 0.998 0.900
O17 0.361 0.874 0.135
O18 0.362 0.386 0.110
O19 0.386 0.362 0.610
O20 0.387 0.886 0.734
O21 0.451 0.797 0.397
O22 0.456 0.268 0.406
O23 0.479 0.828 0.904
O24 0.481 0.248 0.765
O25 0.519 0.752 0.235
O26 0.521 0.172 0.096
O27 0.544 0.732 0.594
O28 0.549 0.203 0.603
O29 0.613 0.114 0.266
O30 0.614 0.638 0.390
O31 0.638 0.614 0.890
O32 0.639 0.126 0.865
O33 0.669 0.002 0.100
O34 0.702 0.052 0.672
O35 0.732 0.544 0.094
O36 0.748 0.836 0.763
O37 0.752 0.519 0.735
O38 0.765 0.953 0.395
O39 0.797 0.451 0.897
O40 0.828 0.479 0.404
O41 0.836 0.748 0.263
O42 0.855 0.900 0.601
O43 0.874 0.361 0.635
O44 0.886 0.387 0.234
O45 0.900 0.855 0.101
O46 0.948 0.298 0.828
O47 0.953 0.765 0.895
O48 0.998 0.331 0.400
```